Entry 1:
First-principles (PBE) data for BaAg2 after structural relaxation, as listed in Alexandria.

Lattice parameters (Å, degrees): 8.1247 8.1247 5.1291 90.00 90.00 148.34
Sites, in units of the cell vectors:
Ba (0.0918, 0.9082, 0.7500)
Ba (0.9082, 0.0918, 0.2500)
Ag (0.7544, 0.2456, 0.7500)
Ag (0.3680, 0.6320, 0.7500)
Ag (0.2456, 0.7544, 0.2500)
Ag (0.6320, 0.3680, 0.2500)

Output
SG = Cmcm (63)
density of states at the Fermi level = 1.25 states/eV per cell
ΔH_f (0 K) = -128 meV/atom
magnetic moment = 0.0 Bohr magnetons per cell

=====

Entry 2:
First-principles (PBE) data for BaAg2 after structural relaxation, as listed in Alexandria.

Lattice parameters (Å, degrees): 9.2053 9.2053 9.2053 150.54 150.54 42.15
Sites, in units of the cell vectors:
Ag (0.5812, 0.5812, 0.0000)
Ag (0.6688, 0.1688, 0.5000)
Ag (0.4188, 0.4188, 0.0000)
Ag (0.8312, 0.3312, 0.5000)
Ba (0.0000, 0.0000, 0.0000)
Ba (0.2500, 0.7500, 0.5000)

Output
SG = I4_1/amd (141)
density of states at the Fermi level = 2.87 states/eV per cell
ΔH_f (0 K) = -263 meV/atom
magnetic moment = 0.0 Bohr magnetons per cell

=====

Entry 3:
First-principles (PBE) data for Ba2Ag7 after structural relaxation, as listed in Alexandria.

Lattice parameters (Å, degrees): 6.0191 6.0191 14.5553 78.07 78.07 60.00
Sites, in units of the cell vectors:
Ba (0.0520, 0.0520, 0.8439)
Ba (0.9480, 0.9480, 0.1561)
Ba (0.1497, 0.1497, 0.5509)
Ba (0.8503, 0.8503, 0.4491)
Ag (0.5000, 0.5000, 0.5000)
Ag (0.2788, 0.2788, 0.1635)
Ag (0.7212, 0.7212, 0.8365)
Ag (0.3873, 0.3873, 0.8382)
Ag (0.6127, 0.6127, 0.1618)
Ag (0.5000, 0.0000, 0.0000)
Ag (0.0000, 0.5000, 0.0000)
Ag (0.5000, 0.5000, 0.0000)
Ag (0.6081, 0.6081, 0.6742)
Ag (0.6081, 0.1095, 0.6742)
Ag (0.1095, 0.6081, 0.6742)
Ag (0.3919, 0.3919, 0.3258)
Ag (0.3919, 0.8905, 0.3258)
Ag (0.8905, 0.3919, 0.3258)

Output
SG = R-3m (166)
density of states at the Fermi level = 10.82 states/eV per cell
ΔH_f (0 K) = -155 meV/atom
magnetic moment = 0.0 Bohr magnetons per cell

=====

Entry 4:
First-principles (PBE) data for BaAg after structural relaxation, as listed in Alexandria.

Lattice parameters (Å, degrees): 5.0252 6.7352 8.7458 90.00 90.00 90.00
Sites, in units of the cell vectors:
Ba (0.2500, 0.1328, 0.1805)
Ba (0.7500, 0.8672, 0.8195)
Ba (0.7500, 0.6328, 0.3195)
Ba (0.2500, 0.3672, 0.6805)
Ag (0.2500, 0.6168, 0.0342)
Ag (0.7500, 0.3832, 0.9658)
Ag (0.7500, 0.1168, 0.4658)
Ag (0.2500, 0.8832, 0.5342)

Output
SG = Pnma (62)
density of states at the Fermi level = 5.61 states/eV per cell
ΔH_f (0 K) = -273 meV/atom
magnetic moment = 0.0 Bohr magnetons per cell

=====

Entry 5:
First-principles (PBE) data for BaAg2 after structural relaxation, as listed in Alexandria.

Lattice parameters (Å, degrees): 4.0574 4.0574 5.6884 90.00 90.00 90.00
Sites, in units of the cell vectors:
Ba (0.0000, 0.0000, 0.0000)
Ag (0.0000, 0.5000, 0.5000)
Ag (0.5000, 0.0000, 0.5000)

Output
SG = P4/mmm (123)
density of states at the Fermi level = 1.55 states/eV per cell
ΔH_f (0 K) = 1 meV/atom
magnetic moment = 0.0 Bohr magnetons per cell

=====

Entry 6:
First-principles (PBE) data for BaAg5 after structural relaxation, as listed in Alexandria.

Lattice parameters (Å, degrees): 4.8308 4.8308 7.4310 92.84 92.84 59.08
Sites, in units of the cell vectors:
Ag (0.9835, 0.9835, 0.2027)
Ag (0.3056, 0.3056, 0.3889)
Ag (0.6277, 0.6277, 0.5750)
Ag (0.6532, 0.6532, 0.2001)
Ag (0.9579, 0.9579, 0.5777)
Ba (0.3054, 0.3054, 0.8889)

Output
SG = C2/m (12)
density of states at the Fermi level = 3.28 states/eV per cell
ΔH_f (0 K) = -59 meV/atom
distance to the lowest polymorph of the same formula = 0.087 eV per atom
magnetic moment = 0.0 Bohr magnetons per cell